Density functional theory data (PBE) for an optimized crystal structure of Ga2ReRh2.

Computed properties:
Relative energy among the computed polymorphs, eV per atom: 0.1394
Formation enthalpy at 0 K, kcal/mol of atoms: -1.05
E, eV/atom: -6.69

a b c (Å): 7.242 7.242 2.805
angles (deg): 90.00 90.00 90.00
Each line ends with the local moment (μB).
Fractional positions:
Rh 0.135 0.365 0.000  0.04
Rh 0.635 0.135 0.000  0.05
Rh 0.865 0.635 0.000  0.04
Rh 0.365 0.865 0.000  0.05
Ga 0.336 0.164 0.500  0.00
Ga 0.664 0.836 0.500  0.00
Ga 0.164 0.664 0.500  0.00
Ga 0.836 0.336 0.500  0.00
Re 0.000 0.000 0.000  0.31
Re 0.500 0.500 0.000  0.32

Density functional theory data (PBE) for an optimized crystal structure of Ga3ReRh.

Computed properties:
Relative energy among the computed polymorphs, eV per atom: 0.0000
Formation enthalpy at 0 K, kcal/mol of atoms: 17.26
E, eV/atom: -5.03

a b c (Å): 4.755 4.755 4.755
angles (deg): 90.00 90.00 90.00
Each line ends with the local moment (μB).
Fractional positions:
Ga 0.000 0.000 0.500  0.00
Ga 0.500 0.000 0.000  0.00
Ga 0.000 0.500 0.000  0.02
Re 0.000 0.000 0.000  0.23
Rh 0.500 0.500 0.500  0.92

Density functional theory data (PBE) for an optimized crystal structure of GaReRh2.

Computed properties:
Formation enthalpy at 0 K, kcal/mol of atoms: -8.01
E, eV/atom: -7.89

a b c (Å): 2.776 2.776 7.384
angles (deg): 90.00 90.00 90.00
Fractional positions:
Rh 0.000 0.000 0.755
Rh 0.000 0.000 0.245
Ga 0.500 0.500 0.000
Re 0.500 0.500 0.500

Density functional theory data (PBE) for an optimized crystal structure of GaRe3Rh.

Computed properties:
Relative energy among the computed polymorphs, eV per atom: 0.3017
Formation enthalpy at 0 K, kcal/mol of atoms: 52.33
E, eV/atom: -7.28

a b c (Å): 4.687 4.687 4.687
angles (deg): 90.00 90.00 90.00
Each line ends with the local moment (μB).
Fractional positions:
Re 0.500 0.000 0.000  0.48
Re 0.000 0.000 0.500  0.63
Re 0.000 0.500 0.000  0.54
Ga 0.500 0.500 0.500  0.01
Rh 0.000 0.000 0.000  -0.03